Version P
An optimized crystal structure of LaSc2Mo, computed with PBE.

Lattice parameters (Å, degrees): 10.8104 10.8104 10.8104 17.41 17.41 17.41
Closest atoms and distances in Å follow each position.
Sites, in units of the cell vectors:
La1 0.0000 0.0000 0.0000  6 La 3.27, 2 Sc 3.33
Sc1 0.1044 0.1044 0.1044  3 Mo 2.74
Sc2 0.8956 0.8956 0.8956  3 Mo 2.74
Mo1 0.5000 0.5000 0.5000  6 Sc 2.74

Properties
* space-group type: No. 166
* ρ: 5.46 g/cm3


Version Q
An optimized crystal structure of LaSc2Mo, computed with PBE.

Lattice parameters (Å, degrees): 3.3461 3.3461 8.7448 90.00 90.00 90.00
Closest atoms and distances in Å follow each position.
Sites, in units of the cell vectors:
La1 0.0000 0.0000 0.0000  4 La 3.35, 8 Sc 3.65
Sc1 0.5000 0.5000 0.3173  4 Mo 2.85, 1 Sc 3.19
Sc2 0.5000 0.5000 0.6827  4 Mo 2.85, 1 Sc 3.19
Mo1 0.0000 0.0000 0.5000  8 Sc 2.85

Properties
* space-group type: No. 123
* ρ: 5.51 g/cm3


Version R
An optimized crystal structure of LaSc2Mo, computed with PBE.

Lattice parameters (Å, degrees): 3.2591 4.5408 6.5111 90.00 101.32 90.00
Closest atoms and distances in Å follow each position.
Sites, in units of the cell vectors:
La1 0.0000 0.0000 0.0000  2 Mo 2.82, 1 Sc 3.16
Sc1 0.3296 0.5000 0.6801  1 Mo 2.80
Sc2 0.7462 0.0000 0.4440  2 Mo 2.89, 1 La 3.16, 4 Sc 3.16-3.19
Mo1 0.2819 0.5000 0.2455  3 Sc 2.80-2.89, 2 La 2.82

Properties
* space-group type: No. 6
* ρ: 5.71 g/cm3


Referenced to the most stable arrangement, the calculated values in eV/atom are version P 0.146; version Q 0.000; version R 0.121.


Version P
An optimized crystal structure of LaScMo2, computed with PBE.

Lattice parameters (Å, degrees): 4.0747 4.0747 4.9647 90.00 90.00 90.00
Closest atoms and distances in Å follow each position.
Sites, in units of the cell vectors:
La1 0.0000 0.0000 0.0000  4 Sc 2.88, 8 Mo 3.21
Sc1 0.5000 0.5000 0.0000  4 La 2.88, 8 Mo 3.21
Mo1 0.0000 0.5000 0.5000  4 Mo 2.88, 4 La 3.21, 4 Sc 3.21
Mo2 0.5000 0.0000 0.5000  4 Mo 2.88, 4 La 3.21, 4 Sc 3.21

Properties
* space-group type: No. 123
* ρ: 7.57 g/cm3


Version Q
An optimized crystal structure of LaScMo2, computed with PBE.

Lattice parameters (Å, degrees): 3.2232 4.3306 5.9503 90.00 90.00 90.00
Closest atoms and distances in Å follow each position.
Sites, in units of the cell vectors:
La1 0.0000 0.0000 0.0000  1 Mo 2.62
Sc1 0.5000 0.5000 0.6764  1 Mo 2.48
Mo1 0.0000 0.0000 0.4400  1 La 2.62, 4 Mo 2.90
Mo2 0.5000 0.5000 0.2600  1 Sc 2.48

Properties
* space-group type: No. 25
* ρ: 7.51 g/cm3


Version R
An optimized crystal structure of LaScMo2, computed with PBE.

Lattice parameters (Å, degrees): 5.3674 5.3674 5.6649 110.53 110.53 38.52
Closest atoms and distances in Å follow each position.
Sites, in units of the cell vectors:
La1 0.0000 0.0000 0.0000  4 Mo 3.10, 4 Sc 3.34
Sc1 0.5000 0.5000 0.5000  6 Mo 2.96
Mo1 0.2515 0.2515 0.6561  2 Mo 2.50
Mo2 0.7485 0.7485 0.3439  2 Mo 2.50

Properties
* space-group type: No. 12
* ρ: 6.61 g/cm3


Version S
An optimized crystal structure of LaScMo2, computed with PBE.

Lattice parameters (Å, degrees): 3.0360 3.0360 10.0954 90.00 90.00 113.59
Closest atoms and distances in Å follow each position.
Sites, in units of the cell vectors:
La1 0.0000 0.0000 0.0000  6 La 3.04-3.33, 2 Mo 3.08
Sc1 0.5000 0.5000 0.3287  2 Mo 2.80, 4 Sc 3.04
Mo1 0.0000 0.0000 0.5522  2 Mo 2.54, 2 Sc 2.80
Mo2 0.5000 0.5000 0.7428  2 Mo 2.54

Properties
* space-group type: No. 35
* ρ: 7.32 g/cm3


Referenced to the most stable arrangement, the calculated values in eV/atom are version P 0.338; version Q 0.156; version R 0.102; version S 0.000.


Version P
An optimized crystal structure of LaScMo2, computed with PBE.

Lattice parameters (Å, degrees): 10.4343 10.4343 10.4343 16.74 16.74 16.74
Closest atoms and distances in Å follow each position.
Sites, in units of the cell vectors:
La1 0.0000 0.0000 0.0000  6 La 3.04, 6 Mo 3.30
Sc1 0.5000 0.5000 0.5000  6 Mo 2.93, 6 Sc 3.04
Mo1 0.2429 0.2429 0.2429  3 Sc 2.93, 6 Mo 3.04
Mo2 0.7571 0.7571 0.7571  3 Sc 2.93, 6 Mo 3.04

Properties
* space-group type: No. 166
* ρ: 7.59 g/cm3


Version Q
An optimized crystal structure of LaScMo2, computed with PBE.

Lattice parameters (Å, degrees): 6.2067 6.2067 6.2067 102.10 102.10 125.51
Closest atoms and distances in Å follow each position.
Sites, in units of the cell vectors:
La1 0.0000 0.0000 0.0000  2 Sc 2.84, 4 Mo 2.95
La2 0.7500 0.2500 0.5000  2 Sc 2.84, 4 Mo 2.95
Sc1 0.2500 0.7500 0.5000  4 Mo 2.75, 2 La 2.84
Sc2 0.5000 0.5000 0.0000  4 Mo 2.75, 2 La 2.84
Mo1 0.1441 0.6250 0.0191  2 Sc 2.75, 2 Mo 2.86, 2 La 2.95
Mo2 0.3750 0.3941 0.5191  2 Sc 2.75, 2 Mo 2.86, 2 La 2.95
Mo3 0.6059 0.1250 0.9809  2 Sc 2.75, 2 Mo 2.86, 2 La 2.95
Mo4 0.8750 0.8559 0.4809  2 Sc 2.75, 2 Mo 2.86, 2 La 2.95

Properties
* space-group type: No. 122
* ρ: 7.21 g/cm3


Version R
An optimized crystal structure of LaScMo2, computed with PBE.

Lattice parameters (Å, degrees): 3.2584 3.2584 8.3085 90.00 90.00 90.00
Closest atoms and distances in Å follow each position.
Sites, in units of the cell vectors:
La1 0.0000 0.0000 0.0000  5 Mo 3.21-3.58, 4 La 3.26
Sc1 0.5000 0.5000 0.6425  5 Mo 2.90-3.11
Mo1 0.0000 0.0000 0.4304  4 Mo 2.67, 4 Sc 2.90
Mo2 0.5000 0.5000 0.2683  4 Mo 2.67

Properties
* space-group type: No. 99
* ρ: 7.07 g/cm3


Referenced to the most stable arrangement, the calculated values in eV/atom are version P 0.549; version Q 0.832; version R 0.000.